30
Lattice="-5.791 -2.570 -0.242 0.028 -0.658 6.306 -10.101 22.532 2.396" Properties=species:S:1:pos:R:3 comment="LaEr2Tm12 PBE relaxed" magnetic_moment_mub_per_fu=0.0 e_tot_ev_per_atom=-4.136 crystal_system=tetragonal spacegroup="P4/nbm, No. 125" n_ef_per_ev_atom=1.8295 pbc="T T T"
La -2.896 -1.285 -0.121
La 0.014 -0.329 3.153
Er -5.705 4.981 0.545
Er -2.795 5.937 3.819
Er -7.278 15.937 4.883
Er -10.188 14.981 1.609
Tm -10.777 15.998 4.905
Tm -7.896 17.612 1.873
Tm -13.240 17.464 6.660
Tm -10.344 18.749 6.787
Tm -3.457 7.711 0.820
Tm -2.610 1.511 4.948
Tm -10.460 10.268 3.227
Tm -6.338 6.097 3.852
Tm -10.353 19.080 3.634
Tm -5.505 0.225 4.832
Tm -7.569 11.659 2.329
Tm -8.314 8.080 1.959
Tm -6.644 14.821 1.576
Tm -5.414 9.258 3.099
Tm -2.629 1.838 1.795
Tm -9.235 7.335 5.073
Tm -9.510 10.354 6.419
Tm -2.206 4.920 0.523
Tm -6.619 11.746 5.521
Tm -9.525 13.206 4.608
Tm -13.249 17.795 3.507
Tm -5.087 3.306 3.555
Tm -6.335 8.514 6.213
Tm -5.525 0.552 1.679